1.
DFT (PBE) results for an optimized crystal structure of CaCoCl2.

extended XYZ file:
```
4
Lattice="3.4311 0.0000 0.0000 0.0000 3.4311 0.0000 0.0000 0.0000 7.5994" Properties=species:S:1:pos:R:3 pbc="T T T"
Ca 0.0000 0.0000 0.0000
Co 1.7155 1.7155 5.3899
Cl 0.0000 0.0000 4.8151
Cl 1.7155 1.7155 1.4600
```

**ΔE_f (raw)**: -0.7749 eV/atom
**Space group**: P4mm, No. 99
**Magnetization**: 1.10 μB/cell

=====

2.
DFT (PBE) results for an optimized crystal structure of SmAgBiRh.

extended XYZ file:
```
4
Lattice="0.0000 3.5246 3.5246 3.5246 0.0000 3.5246 3.5246 3.5246 0.0000" Properties=species:S:1:pos:R:3 pbc="T T T"
Sm 0.0000 0.0000 0.0000
Ag 1.7623 1.7623 1.7623
Bi 3.5246 3.5246 3.5246
Rh 5.2868 5.2868 5.2868
```

**Space group**: F-43m, No. 216
**Magnetization**: 0.00 μB/cell
**E_form**: -0.378 eV per atom

=====

3.
DFT (PBE) results for an optimized crystal structure of KIr3Pd.

extended XYZ file:
```
5
Lattice="4.8948 0.0000 0.0000 0.0000 4.8948 0.0000 0.0000 0.0000 4.8948" Properties=species:S:1:pos:R:3 pbc="T T T"
K 0.0000 0.0000 0.0000
Ir 0.0000 2.4474 2.4474
Ir 2.4474 0.0000 2.4474
Ir 2.4474 2.4474 0.0000
Pd 2.4474 2.4474 2.4474
```

**Space group**: Pm-3m, No. 221
**Magnetization**: 3.57 μB/cell
**E_form**: 1.775 eV per atom

=====

Q: Which value of magnetization does entry 3 give?
A: 3.57 μB/cell